The following is a PBE-GGA calculation of a geometry-optimized ScBe8Ir3 structure, from Alexandria.

Cell: 4.415 4.415 7.317 Å, 90.00 90.00 120.00°
Atoms (fractional coordinates):
Sc 0.000 0.000 0.000
Be 0.166 0.332 0.675
Be 0.166 0.834 0.675
Be 0.333 0.667 0.438
Be 0.333 0.667 0.929
Be 0.503 0.007 0.202
Be 0.503 0.497 0.202
Be 0.668 0.834 0.675
Be 0.993 0.497 0.202
Ir 0.000 0.000 0.360
Ir 0.667 0.333 0.507
Ir 0.667 0.333 0.879

Calculated values
- E_tot (eV per cell) = -68.7
- volume (Å³ per cell) = 123.5
- mass density (kg/m³) = 9327
- SG = No. 156
- E_form (meV per atom) = -496

---

The following is a PBE-GGA calculation of a geometry-optimized Sc3BeIr structure, from Alexandria.

Cell: 4.999 4.999 4.999 Å, 90.00 90.00 90.00°
Atoms (fractional coordinates):
Sc 0.000 0.000 0.500
Sc 0.000 0.500 0.000
Sc 0.500 0.000 0.000
Be 0.500 0.500 0.500
Ir 0.000 0.000 0.000

Calculated values
- E_tot (eV per cell) = -30.8
- volume (Å³ per cell) = 124.9
- mass density (kg/m³) = 4468
- SG = No. 221
- E_form (meV per atom) = 164

---

The following is a PBE-GGA calculation of a geometry-optimized ScBe9Ir2 structure, from Alexandria.

Cell: 7.506 7.506 7.506 Å, 34.00 34.00 34.00°
Atoms (fractional coordinates):
Sc 0.000 0.000 0.000
Be 0.081 0.590 0.590
Be 0.332 0.332 0.332
Be 0.410 0.410 0.919
Be 0.410 0.919 0.410
Be 0.500 0.500 0.500
Be 0.590 0.081 0.590
Be 0.590 0.590 0.081
Be 0.668 0.668 0.668
Be 0.919 0.410 0.410
Ir 0.138 0.138 0.138
Ir 0.862 0.862 0.862

Calculated values
- E_tot (eV per cell) = -62.6
- volume (Å³ per cell) = 117.9
- mass density (kg/m³) = 7193
- SG = No. 166
- E_form (meV per atom) = -416

---

The following is a PBE-GGA calculation of a geometry-optimized ScBe2Ir structure, from Alexandria.

Cell: 8.387 8.387 8.387 Å, 152.32 152.32 39.54°
Atoms (fractional coordinates):
Sc 0.375 0.625 0.750
Sc 0.625 0.375 0.250
Be 0.000 0.000 0.000
Be 0.000 0.000 0.500
Be 0.000 0.500 0.000
Be 0.500 0.000 0.500
Ir 0.125 0.875 0.250
Ir 0.875 0.125 0.750

Calculated values
- E_tot (eV per cell) = -46.5
- volume (Å³ per cell) = 127.1
- mass density (kg/m³) = 6670
- SG = No. 141
- E_form (meV per atom) = -151

---

The following is a PBE-GGA calculation of a geometry-optimized ScBeIr2 structure, from Alexandria.

Cell: 4.237 4.237 3.140 Å, 90.00 90.00 90.00°
Atoms (fractional coordinates):
Sc 0.000 0.000 0.000
Be 0.500 0.500 0.000
Ir 0.000 0.500 0.500
Ir 0.500 0.000 0.500

Calculated values
- E_tot (eV per cell) = -30.2
- volume (Å³ per cell) = 56.4
- mass density (kg/m³) = 12914
- SG = No. 123
- E_form (meV per atom) = -612

---

The following is a PBE-GGA calculation of a geometry-optimized ScBeIr2 structure, from Alexandria.

Cell: 4.662 4.662 4.771 Å, 111.60 111.60 36.84°
Atoms (fractional coordinates):
Sc 0.000 0.000 0.000
Be 0.500 0.500 0.500
Ir 0.222 0.222 0.712
Ir 0.778 0.778 0.288

Calculated values
- E_tot (eV per cell) = -29.8
- volume (Å³ per cell) = 57.3
- mass density (kg/m³) = 12704
- SG = No. 12
- E_form (meV per atom) = -513

---

mass density of number 2 (Sc3BeIr)?
4468 kg/m³

---

Copy entry 2 word for word.
The following is a PBE-GGA calculation of a geometry-optimized Sc3BeIr structure, from Alexandria.

Cell: 4.999 4.999 4.999 Å, 90.00 90.00 90.00°
Atoms (fractional coordinates):
Sc 0.000 0.000 0.500
Sc 0.000 0.500 0.000
Sc 0.500 0.000 0.000
Be 0.500 0.500 0.500
Ir 0.000 0.000 0.000

Calculated values
- E_tot (eV per cell) = -30.8
- volume (Å³ per cell) = 124.9
- mass density (kg/m³) = 4468
- SG = No. 221
- E_form (meV per atom) = 164

---

What is the formula in the second record?
Sc3BeIr